! Co2TcTe GGA-PBEsol relaxed; values from VASP
! magnetic moment = 1.60 μB per formula unit
! formation energy (no corrections) = 291 meV/atom
! raw total energy = -29.10 eV/f.u.
&SYSTEM
  ibrav = 0, nat = 4, ntyp = 3
/
ATOMIC_SPECIES
Co 58.93 Co.upf
Tc 98.00 Tc.upf
Te 127.60 Te.upf
ATOMIC_POSITIONS angstrom
Co 0.000 0.000 0.000
Co 0.000 1.909 1.828
Tc 1.909 0.000 1.828
Te 0.000 0.000 3.655
CELL_PARAMETERS angstrom
-1.909 1.909 3.655
1.909 -1.909 3.655
1.909 1.909 -3.655